Here is a relaxed structure of ReMoOs2 from the Alexandria database. Energies are from PBE.

Cell lengths 5.6489, 5.6489, 11.2201 Å; angles 90.00, 90.00, 90.00 degrees
Closest atoms and distances in Å follow each position.
Space group I-42d (No. 122)
Inequivalent atoms, fractional coordinates:
1 Re 0.0000 0.0000 0.0000 (multiplicity 4)  4 Os 2.42
2 Mo 0.0000 0.0000 0.5000 (multiplicity 4)  4 Os 2.46
3 Os 0.2446 0.2500 0.1250 (multiplicity 8)  2 Re 2.42, 2 Mo 2.46

Calculated values
**Magnetization**: 0.0 μB per formula unit
**DOS(E_F)**: 17.3 states/eV per cell
**Polymorph energy (0 for the lowest one)**: 1366 meV/atom
**DFT formation energy**: 1411 meV per atom
**Calculated total energy**: -10.0234 eV per atom